Y2Ga3Cu5 (PBE, optimized geometry); calculated formation energy = -0.300 eV per atom; calculated total energy = -4.549 eV per atom; calculated density = 6.85 Mg/m³; DOS at the Fermi energy = 6.5 states/eV/f.u.
1.0
-2.855 -0.025 -2.814
-1.002 -3.737 1.050
-6.969 3.844 7.035
Y Ga Cu
2 3 5
direct
0.500 0.000 0.240 Y
0.000 0.500 0.760 Y
0.500 0.000 0.645 Ga
0.000 0.500 0.355 Ga
0.000 0.000 0.500 Ga
0.500 0.500 0.000 Cu
0.000 0.000 0.000 Cu
0.500 0.000 0.868 Cu
0.000 0.500 0.132 Cu
0.500 0.500 0.500 Cu